InGaBF2 | PBE | optimized geometry

```
InGaBF2
1.0
4.321 0.000 0.000
0.000 4.321 0.000
0.000 0.000 4.054
B F Ga In
1 2 1 1
Cartesian
0.000 0.000 0.000
0.000 2.160 0.000
2.160 0.000 0.000
0.000 0.000 2.027
2.160 2.160 2.027
```

Results
Total DFT energy (no corrections) in eV per atom: -3.74
Space-group type: P4/mmm
Size of the total moment in μB/f.u.: 0.000

LaGaBF2 | PBE | optimized geometry

```
LaGaBF2
1.0
-2.843 -2.133 1.895
0.073 -5.262 -5.814
2.852 -2.090 1.927
B La F Ga
1 1 2 1
Cartesian
0.041 -4.742 -0.996
0.036 -2.631 -2.907
1.426 -1.045 0.964
-1.421 -1.066 0.947
0.000 0.000 0.000
```

Results
Total DFT energy (no corrections) in eV per atom: -4.28
Space-group type: P4/mmm
Size of the total moment in μB/f.u.: 1.961

GaBNF2 | PBE | optimized geometry

```
GaBNF2
1.0
4.518 0.000 0.000
0.000 4.518 0.000
0.000 0.000 2.697
F Ga B N
2 1 1 1
Cartesian
0.000 2.259 0.000
2.259 0.000 0.000
2.259 2.259 1.348
0.000 0.000 0.000
0.000 0.000 1.348
```

Results
Total DFT energy (no corrections) in eV per atom: -5.15
Space-group type: P4/mmm
Size of the total moment in μB/f.u.: 0.644

GaBNF2 | PBE | optimized geometry

```
GaBNF2
1.0
-1.016 -0.835 3.574
2.367 -2.984 -0.024
2.976 2.350 1.395
F B N Ga
2 1 1 1
Cartesian
1.184 -1.492 -0.012
-0.508 -0.418 1.787
2.164 -0.734 2.473
1.488 1.175 0.698
0.000 0.000 0.000
```

Results
Total DFT energy (no corrections) in eV per atom: -4.25
Space-group type: P4/mmm
Size of the total moment in μB/f.u.: 0.005